Compound: SbRhCl2
Source: Alexandria via LeMat-Bulk
Functional: GGA-PBEsol
Structure: relaxed

It has space group C2/m (No. 12), with a = 12.093 Å, b = 3.310 Å, c = 4.660 Å, α = 90.00°, β = 103.62° and γ = 90.00°. The asymmetric unit holds Sb at (0.000, 0.000, 0.000), Rh at (0.000, 0.500, 0.500) and Cl at (0.157, 0.000, 0.684).

The value obtained for the formation energy without anion corrections is -124.9 meV per atom. The size of the total moment is 0.92 μB per formula unit. As for the energy above the most stable polymorph in this dataset: 0 meV per atom. The value obtained for the total energy is -34.4 eV/cell.



Compound: SbRh2Cl
Source: Alexandria via LeMat-Bulk
Functional: GGA-PBEsol
Structure: relaxed

It has space group Cm (No. 8), with a = 9.765 Å, b = 3.143 Å, c = 4.338 Å, α = 90.00°, β = 96.85° and γ = 90.00°. The asymmetric unit holds Sb at (0.000, 0.000, 0.000), Rh at (0.221, 0.500, 0.170), Rh at (0.460, 0.000, 0.477) and Cl at (0.239, 0.000, 0.627).

The value obtained for the formation energy without anion corrections is 69.0 meV per atom. The size of the total moment is 0.00 μB per formula unit. As for the energy above the most stable polymorph in this dataset: 21 meV per atom. The value obtained for the total energy is -45.1 eV/cell.



Compound: SbRhCl2
Source: Alexandria via LeMat-Bulk
Functional: GGA-PBEsol
Structure: relaxed

It has space group Pmmm (No. 47), with a = 3.093 Å, b = 4.460 Å, c = 5.258 Å, α = 90.00°, β = 90.00° and γ = 90.00°. The asymmetric unit holds Sb at (0.000, 0.000, 0.000), Rh at (0.500, 0.000, 0.500), Cl at (0.000, 0.500, 0.500) and Cl at (0.500, 0.500, 0.000).

The value obtained for the formation energy without anion corrections is 114.9 meV per atom. The size of the total moment is 0.00 μB per formula unit. As for the energy above the most stable polymorph in this dataset: 240 meV per atom. The value obtained for the total energy is -16.3 eV/cell.



Compound: SbRhCl
Source: Alexandria via LeMat-Bulk
Functional: GGA-PBEsol
Structure: relaxed

It has space group F-43m (No. 216), with a = 6.419 Å, b = 6.419 Å, c = 6.419 Å, α = 90.00°, β = 90.00° and γ = 90.00°. The asymmetric unit holds Sb at (0.000, 0.000, 0.000), Rh at (0.250, 0.250, 0.250) and Cl at (0.250, 0.250, 0.750).

The value obtained for the formation energy without anion corrections is 451.1 meV per atom. The size of the total moment is 0.00 μB per formula unit. As for the energy above the most stable polymorph in this dataset: 0 meV per atom. The value obtained for the total energy is -53.4 eV/cell.